Record 1
VASP calculation (PBE) on an optimized crystal structure of Sm2ThSe2S2.

```
Sm2ThSe2S2
1.0
-3.9578 -1.4941 -3.2333
3.3945 -3.0458 -2.7478
-1.1992 -3.3645 7.4068
Se S Sm Th
2 2 2 1
direct
0.1935 0.1935 0.3870
0.8065 0.8065 0.6130
0.0000 0.5000 0.0000
0.5000 0.0000 0.0000
0.3858 0.3858 0.7716
0.6142 0.6142 0.2284
0.0000 0.0000 0.0000
```

## Properties
* formation energy (no corrections): -32.1 kcal/mol of atoms
* final energy: -41.82 eV per formula unit

---

Record 2
VASP calculation (PBE) on an optimized crystal structure of AcPmEr2Bi4.

```
AcPmEr2Bi4
1.0
-0.3566 2.8072 3.6261
-7.6419 1.2745 -1.7380
-4.5104 -5.3971 3.7349
Ac Bi Er Pm
1 4 2 1
direct
0.5000 0.5000 0.0000
0.0000 0.2300 0.2640
0.0000 0.7700 0.7360
0.5000 0.2355 0.7477
0.5000 0.7645 0.2523
0.0000 0.0000 0.0000
0.5000 0.0000 0.5000
0.0000 0.5000 0.5000
```

## Properties
* final energy: -40.48 eV per formula unit
* E_form: -871 meV/atom

---

Please write out number 1 again, unchanged.
VASP calculation (PBE) on an optimized crystal structure of Sm2ThSe2S2.

```
Sm2ThSe2S2
1.0
-3.9578 -1.4941 -3.2333
3.3945 -3.0458 -2.7478
-1.1992 -3.3645 7.4068
Se S Sm Th
2 2 2 1
direct
0.1935 0.1935 0.3870
0.8065 0.8065 0.6130
0.0000 0.5000 0.0000
0.5000 0.0000 0.0000
0.3858 0.3858 0.7716
0.6142 0.6142 0.2284
0.0000 0.0000 0.0000
```

## Properties
* formation energy (no corrections): -32.1 kcal/mol of atoms
* final energy: -41.82 eV per formula unit